Entry 1:
Material: Y2In
Method: DFT, PBE
State: optimized geometry

The space group is Fd-3m (No. 227, origin choice 2) and the conventional cell measures 8.960, 8.960 and 8.960 Å, with angles of 90.00, 90.00 and 90.00 degrees. The distinct sites, in fractional coordinates, are Y at (0.000, 0.000, 0.000) and In at (0.125, 0.125, 0.625).

The calculation puts the formation energy at 0.164 eV per atom. The value obtained for the total energy is -15.2 eV/f.u.


Entry 2:
Material: YZnIn
Method: DFT, PBE
State: optimized geometry

The space group is Ima2 (No. 46) and the conventional cell measures 4.705, 8.073 and 7.284 Å, with angles of 90.00, 90.00 and 90.00 degrees. The distinct sites, in fractional coordinates, are Y at (0.250, 0.229, 0.000), Zn at (0.250, 0.567, 0.216) and In at (0.250, 0.601, 0.774).

The calculation puts the formation energy at -0.414 eV per atom. The value obtained for the total energy is -11.7 eV/f.u.


Entry 3:
Material: Y2ZnIn
Method: DFT, PBE
State: optimized geometry

The space group is R-3m (No. 166, hexagonal axes) and the conventional cell measures 3.6708, 3.6708 and 27.8374 Å, with angles of 90.00, 90.00 and 120.00 degrees. The distinct sites, in fractional coordinates, are Y at (0.0000, 0.0000, 0.2438), Zn at (0.0000, 0.0000, 0.5000) and In at (0.0000, 0.0000, 0.0000).

The calculation puts the formation energy at -0.260 eV per atom. The value obtained for the total energy is -18.0 eV/f.u.


Entry 4:
Material: Y2ZnIn3
Method: DFT, PBE
State: optimized geometry

The space group is Fmmm (No. 69) and the conventional cell measures 7.174, 9.674 and 16.717 Å, with angles of 90.00, 90.00 and 90.00 degrees. The distinct sites, in fractional coordinates, are Y at (0.250, 0.000, 0.000), Y at (0.250, 0.250, 0.250), Zn at (0.000, 0.000, 0.167), In at (0.000, 0.000, 0.328) and In at (0.000, 0.243, 0.086).

The calculation puts the distance to the lowest polymorph of the same formula at 0.00 eV/f.u. The calculation puts the formation energy at -0.431 eV per atom. The value obtained for the total energy is -25.0 eV/f.u.


Entry 5:
Material: Y2ZnIn2
Method: DFT, PBE
State: optimized geometry

The space group is Amm2 (No. 38) and the conventional cell measures 3.537, 4.623 and 14.914 Å, with angles of 90.00, 90.00 and 90.00 degrees. The distinct sites, in fractional coordinates, are Y at (0.000, 0.000, 0.000), Y at (0.000, 0.000, 0.234), Zn at (0.500, 0.000, 0.418), In at (0.500, 0.000, 0.612) and In at (0.500, 0.000, 0.820).

The calculation puts the distance to the lowest polymorph of the same formula at 0.03 eV/f.u. The calculation puts the formation energy at -0.445 eV per atom. The value obtained for the total energy is -21.9 eV/f.u.


Entry 6:
Material: YZn2In
Method: DFT, PBE
State: optimized geometry

The space group is P4mm (No. 99) and the conventional cell measures 3.438, 3.438 and 7.174 Å, with angles of 90.00, 90.00 and 90.00 degrees. The distinct sites, in fractional coordinates, are Y at (0.000, 0.000, 0.000), Zn at (0.000, 0.000, 0.444), Zn at (0.500, 0.500, 0.273) and In at (0.500, 0.500, 0.688).

The calculation puts the formation energy at -0.195 eV per atom. The value obtained for the total energy is -12.5 eV/f.u.


Entry 7:
Material: Y6ZnIn
Method: DFT, PBE
State: optimized geometry

The space group is I4/mmm (No. 139) and the conventional cell measures 5.084, 5.084 and 18.011 Å, with angles of 90.00, 90.00 and 90.00 degrees. The distinct sites, in fractional coordinates, are Y at (0.000, 0.000, 0.250), Y at (0.000, 0.500, 0.108), Zn at (0.000, 0.000, 0.000) and In at (0.000, 0.000, 0.500).

The calculation puts the formation energy at -0.195 eV per atom. The value obtained for the total energy is -44.4 eV/f.u.


Entry 8:
Material: YZn2In
Method: DFT, PBE
State: optimized geometry

The space group is P4/mmm (No. 123) and the conventional cell measures 4.513, 4.513 and 4.133 Å, with angles of 90.00, 90.00 and 90.00 degrees. The distinct sites, in fractional coordinates, are Y at (0.000, 0.000, 0.000), Zn at (0.000, 0.500, 0.500) and In at (0.500, 0.500, 0.000).

The calculation puts the formation energy at -0.310 eV per atom. The value obtained for the total energy is -13.0 eV/f.u.


Entry 9:
Material: Y2ZnIn
Method: DFT, PBE
State: optimized geometry

The space group is P4/mmm (No. 123) and the conventional cell measures 3.655, 3.655 and 7.424 Å, with angles of 90.00, 90.00 and 90.00 degrees. The distinct sites, in fractional coordinates, are Y at (0.000, 0.000, 0.232), Zn at (0.500, 0.500, 0.000) and In at (0.500, 0.500, 0.500).

The calculation puts the formation energy at -0.446 eV per atom. The value obtained for the total energy is -18.7 eV/f.u.


Entry 10:
Material: YZnIn
Method: DFT, PBE
State: optimized geometry

The space group is F-43m (No. 216) and the conventional cell measures 6.970, 6.970 and 6.970 Å, with angles of 90.00, 90.00 and 90.00 degrees. The distinct sites, in fractional coordinates, are Y at (0.000, 0.000, 0.000), Zn at (0.250, 0.250, 0.750) and In at (0.250, 0.250, 0.250).

The calculation puts the formation energy at 0.109 eV per atom. The value obtained for the total energy is -10.1 eV/f.u.


Entry 11:
Material: Y2ZnIn2
Method: DFT, PBE
State: optimized geometry

The space group is C2/m (No. 12) and the conventional cell measures 11.129, 4.630 and 10.886 Å, with angles of 90.00, 116.51 and 90.00 degrees. The distinct sites, in fractional coordinates, are Y at (0.016, 0.000, 0.333), Y at (0.180, 0.000, 0.098), Zn at (0.222, 0.500, 0.333), In at (0.029, 0.500, 0.880) and In at (0.147, 0.500, 0.567).

The calculation puts the distance to the lowest polymorph of the same formula at 0.00 eV/f.u. The calculation puts the formation energy at -0.450 eV per atom. The value obtained for the total energy is -21.9 eV/f.u.


Entry 12:
Material: Y2ZnIn2
Method: DFT, PBE
State: optimized geometry

The space group is I4/mmm (No. 139) and the conventional cell measures 4.787, 4.787 and 13.424 Å, with angles of 90.00, 90.00 and 90.00 degrees. The distinct sites, in fractional coordinates, are Y at (0.000, 0.500, 0.250), Zn at (0.000, 0.000, 0.000) and In at (0.000, 0.000, 0.401).

The calculation puts the distance to the lowest polymorph of the same formula at 3.51 eV/f.u. The calculation puts the formation energy at 0.252 eV per atom. The value obtained for the total energy is -18.4 eV/f.u.


Question: Which formula does entry 1 have?
Answer: Y2In